Record 1
NaLiNb2O4 | PBE | relaxed

The final energy is -7.657 eV/atom.

abc: 2.9420 2.9420 10.9508
angles: 90.00 90.00 120.00
Last column: nearest neighbours and their distance in Å.
Fractional coordinates of all 8 atoms:
O (0.6667, 0.3333, 0.6425)  3 Nb 2.15, 3 Na 2.31
O (0.3333, 0.6667, 0.3575)  3 Nb 2.15, 3 Na 2.31
O (0.6667, 0.3333, 0.8851)  3 Li 2.11, 3 Nb 2.16
O (0.3333, 0.6667, 0.1149)  3 Li 2.11, 3 Nb 2.16
Nb (0.3333, 0.6667, 0.7635)  6 O 2.15-2.16
Nb (0.6667, 0.3333, 0.2365)  6 O 2.15-2.16
Na (0.0000, 0.0000, 0.5000)  6 O 2.31
Li (0.0000, 0.0000, 0.0000)  6 O 2.11


Record 2
Na3LiNb2O6 | PBE | relaxed

The final energy is -6.747 eV/atom.

abc: 5.2977 5.2977 5.6928
angles: 99.00 99.00 120.37
Last column: nearest neighbours and their distance in Å.
Fractional coordinates of all 12 atoms:
Na (0.5000, 0.5000, 0.5000)  6 O 2.34-2.35
Na (0.1568, 0.8433, 0.5000)  6 O 2.31-2.36
Na (0.8433, 0.1568, 0.5000)  6 O 2.31-2.36
O (0.0678, 0.4123, 0.2250)  2 Nb 2.04-2.15, 1 Li 2.17
O (0.2798, 0.2798, 0.8005)  2 Nb 2.10, 1 Li 2.12, 1 Na 2.35
O (0.9322, 0.5877, 0.7750)  2 Nb 2.04-2.15, 1 Li 2.17
O (0.5877, 0.9322, 0.7750)  2 Nb 2.04-2.15, 1 Li 2.17
O (0.4123, 0.0678, 0.2250)  2 Nb 2.04-2.15, 1 Li 2.17
O (0.7202, 0.7202, 0.1995)  2 Nb 2.10, 1 Li 2.12, 1 Na 2.35
Nb (0.6760, 0.3240, 0.0000)  6 O 2.04-2.15
Nb (0.3240, 0.6760, 0.0000)  6 O 2.04-2.15
Li (0.0000, 0.0000, 0.0000)  6 O 2.12-2.17


Record 3
NaLiNb2Te4 | PBE | relaxed

The final energy is -5.142 eV/atom.

abc: 3.8033 3.8033 15.3805
angles: 90.00 90.00 120.00
Last column: nearest neighbours and their distance in Å.
Fractional coordinates of all 8 atoms:
Na (0.0000, 0.0000, 0.5000)  6 Te 3.16
Nb (0.0000, 0.0000, 0.2365)  6 Te 2.82-2.83
Nb (0.0000, 0.0000, 0.7635)  6 Te 2.82-2.83
Te (0.6667, 0.3333, 0.8790)  3 Nb 2.83, 3 Li 2.88
Te (0.3333, 0.6667, 0.3519)  3 Nb 2.82
Te (0.3333, 0.6667, 0.1210)  3 Nb 2.83, 3 Li 2.88
Te (0.6667, 0.3333, 0.6481)  3 Nb 2.82
Li (0.0000, 0.0000, 0.0000)  6 Te 2.88


Record 4
NaLiNd | PBE | relaxed

The final energy is -2.121 eV/atom. The energy above the most stable polymorph in this dataset comes out at 0 meV per atom.

abc: 5.1466 5.1466 5.1466
angles: 60.00 60.00 60.00
Last column: nearest neighbours and their distance in Å.
Fractional coordinates of all 3 atoms:
Li (0.0000, 0.0000, 0.0000)  4 Nd 3.15, 4 Na 3.15
Nd (0.7500, 0.7500, 0.7500)  4 Li 3.15
Na (0.2500, 0.2500, 0.2500)  4 Li 3.15


Record 5
NaLiNi | PBE | relaxed

The final energy is -2.331 eV/atom.

abc: 4.2970 4.2970 4.2970
angles: 60.00 60.00 60.00
Last column: nearest neighbours and their distance in Å.
Fractional coordinates of all 3 atoms:
Ni (0.7500, 0.7500, 0.7500)  4 Li 2.63
Na (0.2500, 0.2500, 0.2500)  4 Li 2.63
Li (0.0000, 0.0000, 0.0000)  4 Na 2.63, 4 Ni 2.63


Record 6
NaLiNiW | PBE | relaxed

The final energy is -4.570 eV/atom. The energy above the most stable polymorph in this dataset comes out at 0 meV per atom.

abc: 4.3306 4.3306 4.3306
angles: 60.00 60.00 60.00
Last column: nearest neighbours and their distance in Å.
Fractional coordinates of all 4 atoms:
Li (0.0000, 0.0000, 0.0000)  4 W 2.65, 4 Na 2.65
Ni (0.5000, 0.5000, 0.5000)  4 Na 2.65, 4 W 2.65
W (0.2500, 0.2500, 0.2500)  4 Li 2.65, 4 Ni 2.65
Na (0.7500, 0.7500, 0.7500)  4 Ni 2.65, 4 Li 2.65


Record 7
NaLiNiW | PBE | relaxed

The final energy is -4.555 eV/atom. The energy above the most stable polymorph in this dataset comes out at 16 meV per atom.

abc: 4.3181 4.3181 4.3181
angles: 60.00 60.00 60.00
Last column: nearest neighbours and their distance in Å.
Fractional coordinates of all 4 atoms:
W (0.2500, 0.2500, 0.2500)  4 Ni 2.64, 4 Na 2.64
Li (0.7500, 0.7500, 0.7500)  4 Na 2.64, 4 Ni 2.64
Na (0.0000, 0.0000, 0.0000)  4 Li 2.64, 4 W 2.64
Ni (0.5000, 0.5000, 0.5000)  4 W 2.64, 4 Li 2.64


Record 8
NaLiNpSe3 | PBE | relaxed

The final energy is -5.571 eV/atom.

abc: 6.9417 6.9417 10.7571
angles: 90.00 90.00 145.20
Last column: nearest neighbours and their distance in Å.
Fractional coordinates of all 12 atoms:
Se (0.1352, 0.8648, 0.0603)  1 Li 2.47
Se (0.5746, 0.4254, 0.7500)  2 Li 2.50
Se (0.8648, 0.1352, 0.9397)  1 Li 2.47
Se (0.1352, 0.8648, 0.4397)  1 Li 2.47
Se (0.8648, 0.1352, 0.5603)  1 Li 2.47
Se (0.4254, 0.5746, 0.2500)  2 Li 2.50
Np (0.5000, 0.5000, 0.5000)  6 Se 2.82-2.87
Np (0.5000, 0.5000, 0.0000)  6 Se 2.82-2.87
Li (0.9698, 0.0302, 0.7500)  4 Se 2.47-2.50
Li (0.0302, 0.9698, 0.2500)  4 Se 2.47-2.50
Na (0.7577, 0.2423, 0.2500)  6 Se 3.04-3.33
Na (0.2423, 0.7577, 0.7500)  6 Se 3.04-3.33


Record 9
Na3LiOs2O6 | PBE | relaxed

The final energy is -6.117 eV/atom.

abc: 5.2854 5.2854 5.5789
angles: 99.12 99.12 120.11
Last column: nearest neighbours and their distance in Å.
Fractional coordinates of all 12 atoms:
O (0.4304, 0.0859, 0.7893)  2 Os 2.05-2.06, 1 Li 2.13
O (0.2240, 0.2240, 0.2062)  2 Os 2.06, 1 Li 2.12, 1 Na 2.30
O (0.9141, 0.5696, 0.2107)  2 Os 2.05-2.06, 1 Li 2.13
O (0.0859, 0.4304, 0.7893)  2 Os 2.05-2.06, 1 Li 2.13
O (0.5696, 0.9141, 0.2107)  2 Os 2.05-2.06, 1 Li 2.13
O (0.7760, 0.7760, 0.7938)  2 Os 2.06, 1 Li 2.12, 1 Na 2.30
Os (0.8315, 0.1685, 0.0000)  6 O 2.05-2.06
Os (0.1685, 0.8315, 0.0000)  6 O 2.05-2.06
Li (0.5000, 0.5000, 0.0000)  6 O 2.12-2.13
Na (0.3403, 0.6597, 0.5000)  6 O 2.33-2.36
Na (0.6597, 0.3403, 0.5000)  6 O 2.33-2.36
Na (0.0000, 0.0000, 0.5000)  6 O 2.30-2.36


Record 10
Na2LiOsO6 | PBE | relaxed

The final energy is -5.756 eV/atom.

abc: 5.3334 5.3929 9.3082
angles: 90.00 124.84 90.00
Last column: nearest neighbours and their distance in Å.
Fractional coordinates of all 20 atoms:
O (0.7257, 0.2155, 0.5358)  1 Os 1.86, 1 Li 2.04
O (0.6712, 0.9846, 0.2387)  1 Os 1.86, 1 Li 2.03
O (0.2743, 0.7155, 0.9642)  1 Os 1.86, 1 Li 2.04
O (0.2743, 0.7845, 0.4642)  1 Os 1.86, 1 Li 2.04
O (0.8170, 0.8069, 0.0329)  1 Os 1.86, 1 Li 2.03
O (0.3288, 0.0154, 0.7613)  1 Os 1.86, 1 Li 2.03
O (0.1830, 0.3069, 0.4671)  1 Os 1.86, 1 Li 2.03
O (0.8170, 0.6931, 0.5329)  1 Os 1.86, 1 Li 2.03
O (0.1830, 0.1931, 0.9671)  1 Os 1.86, 1 Li 2.03
O (0.6712, 0.5154, 0.7387)  1 Os 1.86, 1 Li 2.03
O (0.3288, 0.4846, 0.2613)  1 Os 1.86, 1 Li 2.03
O (0.7257, 0.2845, 0.0358)  1 Os 1.86, 1 Li 2.04
Na (0.7591, 0.9603, 0.7515)  6 O 2.35-2.61
Na (0.2409, 0.0397, 0.2485)  6 O 2.35-2.61
Na (0.7591, 0.5397, 0.2515)  6 O 2.35-2.61
Na (0.2409, 0.4603, 0.7485)  6 O 2.35-2.61
Os (0.5000, 0.0000, 0.0000)  6 O 1.86
Os (0.5000, 0.5000, 0.5000)  6 O 1.86
Li (0.0000, 0.5000, 0.0000)  6 O 2.03-2.04
Li (0.0000, 0.0000, 0.5000)  6 O 2.03-2.04


Record 11
NaLi2OsO4 | PBE | relaxed

The final energy is -5.884 eV/atom.

abc: 7.3028 5.2538 4.8457
angles: 90.00 90.00 90.00
Last column: nearest neighbours and their distance in Å.
Fractional coordinates of all 16 atoms:
Li (0.2501, 0.2044, 0.4773)  4 O 1.95-1.98
Li (0.7500, 0.7956, 0.9773)  4 O 1.95-1.98
Li (0.7499, 0.2044, 0.4773)  4 O 1.95-1.98
Li (0.2500, 0.7956, 0.9773)  4 O 1.95-1.98
Na (0.0000, 0.2625, 0.9749)  4 O 2.22-2.41
Na (0.5000, 0.7375, 0.4749)  4 O 2.22-2.41
Os (0.5000, 0.2932, 0.9706)  4 O 1.81-1.94
Os (0.0000, 0.7068, 0.4706)  4 O 1.81-1.94
O (0.5000, 0.3129, 0.3697)  1 Os 1.94, 2 Li 1.98
O (0.0000, 0.6871, 0.8697)  1 Os 1.94, 2 Li 1.98
O (0.7153, 0.1497, 0.8724)  1 Os 1.81, 2 Li 1.95
O (0.7847, 0.8503, 0.3724)  1 Os 1.81, 2 Li 1.95
O (0.2847, 0.1497, 0.8724)  1 Os 1.81, 2 Li 1.95
O (0.2153, 0.8503, 0.3724)  1 Os 1.81, 2 Li 1.95
O (0.0000, 0.3435, 0.4653)  1 Os 1.91, 2 Li 1.97
O (0.5000, 0.6565, 0.9653)  1 Os 1.91, 2 Li 1.97


Record 12
Na3LiPt2O6 | PBE | relaxed

The final energy is -5.188 eV/atom.

abc: 5.3574 5.3574 5.4753
angles: 99.42 99.42 119.95
Last column: nearest neighbours and their distance in Å.
Fractional coordinates of all 12 atoms:
O (0.9306, 0.5854, 0.7928)  2 Pt 2.06, 1 Li 2.14
O (0.0694, 0.4146, 0.2072)  2 Pt 2.06, 1 Li 2.14
O (0.5854, 0.9306, 0.7928)  2 Pt 2.06, 1 Li 2.14
O (0.2747, 0.2747, 0.7942)  2 Pt 2.06, 1 Li 2.13
O (0.7253, 0.7253, 0.2058)  2 Pt 2.06, 1 Li 2.13
O (0.4146, 0.0694, 0.2072)  2 Pt 2.06, 1 Li 2.14
Pt (0.6669, 0.3331, 0.0000)  6 O 2.06
Pt (0.3331, 0.6669, 0.0000)  6 O 2.06
Na (0.5000, 0.5000, 0.5000)  6 O 2.31-2.37
Na (0.1596, 0.8404, 0.5000)  6 O 2.32-2.37
Na (0.8404, 0.1596, 0.5000)  6 O 2.32-2.37
Li (0.0000, 0.0000, 0.0000)  6 O 2.13-2.14


Record 13
Rb2NaLi2ReO6 | PBE | relaxed

The final energy is -5.770 eV/atom. The energy above the most stable polymorph in this dataset comes out at 54 meV per atom.

abc: 6.3628 6.3628 5.9392
angles: 98.11 98.11 131.47
Last column: nearest neighbours and their distance in Å.
Fractional coordinates of all 12 atoms:
O (0.6433, 0.8752, 0.8146)  1 Re 1.91, 1 Li 2.02
O (0.2142, 0.2142, 0.7927)  1 Re 1.93, 2 Li 2.00
O (0.7858, 0.7858, 0.2073)  1 Re 1.93, 2 Li 2.00
O (0.3567, 0.1248, 0.1854)  1 Re 1.91, 1 Li 2.02
O (0.1248, 0.3567, 0.1854)  1 Re 1.91, 1 Li 2.02
O (0.8752, 0.6433, 0.8146)  1 Re 1.91, 1 Li 2.02
Li (0.3938, 0.6062, 0.0000)  4 O 2.00-2.02
Li (0.6062, 0.3938, 0.0000)  4 O 2.00-2.02
Re (0.0000, 0.0000, 0.0000)  6 O 1.91-1.93
Rb (0.1796, 0.8204, 0.5000)  4 O 2.69-2.70
Rb (0.8204, 0.1796, 0.5000)  4 O 2.69-2.70
Na (0.5000, 0.5000, 0.5000)  4 O 2.32


Record 14
Rb2NaLi2ReO6 | PBE | relaxed

The final energy is -5.824 eV/atom. The energy above the most stable polymorph in this dataset comes out at 0 meV per atom.

abc: 6.7268 6.7268 5.0707
angles: 98.43 98.43 126.57
Last column: nearest neighbours and their distance in Å.
Fractional coordinates of all 12 atoms:
Re (0.0000, 0.0000, 0.0000)  6 O 1.91-1.92
Rb (0.6822, 0.3178, 0.0000)  6 O 2.75-2.81
Rb (0.3178, 0.6822, 0.0000)  6 O 2.75-2.81
O (0.0662, 0.2914, 0.2449)  1 Re 1.92, 1 Li 1.95
O (0.7086, 0.9338, 0.7551)  1 Re 1.92, 1 Li 1.95
O (0.2084, 0.2084, 0.7871)  1 Re 1.91, 2 Li 1.98
O (0.2914, 0.0662, 0.2449)  1 Re 1.92, 1 Li 1.95
O (0.7916, 0.7916, 0.2129)  1 Re 1.91, 2 Li 1.98
O (0.9338, 0.7086, 0.7551)  1 Re 1.92, 1 Li 1.95
Li (0.9014, 0.0986, 0.5000)  4 O 1.95-1.98
Li (0.0986, 0.9014, 0.5000)  4 O 1.95-1.98
Na (0.5000, 0.5000, 0.5000)  6 O 2.37-2.63


Record 15
NaLi4ReO6 | PBE | relaxed

The final energy is -6.120 eV/atom.

abc: 5.0296 5.0296 5.0828
angles: 99.29 99.29 118.44
Last column: nearest neighbours and their distance in Å.
Fractional coordinates of all 12 atoms:
Na (0.5000, 0.5000, 0.5000)  6 O 2.17-2.26
Li (0.6669, 0.3331, 0.0000)  6 O 2.00-2.13
Li (0.8254, 0.1746, 0.5000)  6 O 2.04-2.20
Li (0.1746, 0.8254, 0.5000)  6 O 2.04-2.20
Li (0.3331, 0.6669, 0.0000)  6 O 2.00-2.13
O (0.3754, 0.0566, 0.2257)  1 Re 1.91, 3 Li 2.00-2.12
O (0.0566, 0.3754, 0.2257)  1 Re 1.91, 3 Li 2.00-2.12
O (0.9434, 0.6246, 0.7743)  1 Re 1.91, 3 Li 2.00-2.13
O (0.2304, 0.2304, 0.7750)  1 Re 1.89, 2 Li 2.08
O (0.6246, 0.9434, 0.7743)  1 Re 1.91, 3 Li 2.00-2.13
O (0.7696, 0.7696, 0.2250)  1 Re 1.89, 2 Li 2.08
Re (0.0000, 0.0000, 0.0000)  6 O 1.89-1.91


Record 16
Na3LiReO5 | PBE | relaxed

The final energy is -6.021 eV/atom.

abc: 5.5960 5.9988 7.3585
angles: 76.67 72.60 73.34
Last column: nearest neighbours and their distance in Å.
Fractional coordinates of all 20 atoms:
Re (0.8983, 0.8380, 0.2059)  5 O 1.86-2.05
Re (0.1017, 0.1620, 0.7941)  5 O 1.86-2.05
O (0.1507, 0.0506, 0.0734)  2 Re 2.05-2.08, 1 Li 2.10
O (0.6444, 0.6580, 0.2776)  1 Re 1.91, 1 Li 2.10
O (0.6505, 0.1205, 0.2769)  1 Re 1.92, 1 Li 2.10
O (0.9882, 0.7660, 0.4397)  1 Re 1.86
O (0.3495, 0.8795, 0.7231)  1 Re 1.92, 1 Li 2.10
O (0.1558, 0.5736, 0.1089)  1 Re 1.92, 2 Li 2.02-2.13
O (0.3555, 0.3420, 0.7224)  1 Re 1.91, 1 Li 2.10
O (0.0118, 0.2340, 0.5603)  1 Re 1.86
O (0.8493, 0.9494, 0.9266)  2 Re 2.05-2.08, 1 Li 2.10
O (0.8442, 0.4264, 0.8911)  1 Re 1.92, 2 Li 2.02-2.13
Na (0.6742, 0.5551, 0.6099)  6 O 2.29-2.42
Na (0.7012, 0.0478, 0.6022)  5 O 2.24-2.42
Na (0.4827, 0.2552, 0.0085)  6 O 2.32-2.39
Na (0.3258, 0.4449, 0.3901)  6 O 2.29-2.42
Na (0.5173, 0.7448, 0.9915)  6 O 2.32-2.39
Na (0.2988, 0.9522, 0.3978)  5 O 2.24-2.42
Li (0.1100, 0.6406, 0.8376)  5 O 2.02-2.13
Li (0.8900, 0.3594, 0.1624)  5 O 2.02-2.13


Record 17
Na3LiRe2O6 | PBE | relaxed

The final energy is -6.589 eV/atom.

abc: 5.1405 5.1405 5.8010
angles: 97.93 97.93 124.52
Last column: nearest neighbours and their distance in Å.
Fractional coordinates of all 12 atoms:
Na (0.6560, 0.3440, 0.5000)  6 O 2.23-2.40
Na (0.3440, 0.6560, 0.5000)  6 O 2.23-2.40
Na (0.0000, 0.0000, 0.5000)  6 O 2.24-2.37
O (0.4151, 0.0853, 0.7691)  2 Re 2.04-2.05, 1 Li 2.13, 2 Na 2.23-2.24
O (0.9147, 0.5849, 0.2309)  2 Re 2.04-2.05, 1 Li 2.13, 2 Na 2.23-2.24
O (0.2180, 0.2180, 0.1831)  1 Li 1.95, 2 Re 2.08
O (0.0853, 0.4151, 0.7691)  2 Re 2.04-2.05, 1 Li 2.13, 2 Na 2.23-2.24
O (0.7820, 0.7820, 0.8169)  1 Li 1.95, 2 Re 2.08
O (0.5849, 0.9147, 0.2309)  2 Re 2.04-2.05, 1 Li 2.13, 2 Na 2.23-2.24
Re (0.8166, 0.1834, 0.0000)  6 O 2.04-2.08
Re (0.1834, 0.8166, 0.0000)  6 O 2.04-2.08
Li (0.5000, 0.5000, 0.0000)  6 O 1.95-2.13


Record 18
Na3Li2ReO6 | PBE | relaxed

The final energy is -5.940 eV/atom. The energy above the most stable polymorph in this dataset comes out at 0 meV per atom.

abc: 5.2025 5.2025 5.4523
angles: 99.00 99.00 119.99
Last column: nearest neighbours and their distance in Å.
Fractional coordinates of all 12 atoms:
Na (0.1805, 0.8196, 0.5000)  6 O 2.26-2.35
Na (0.8196, 0.1805, 0.5000)  6 O 2.26-2.35
Na (0.5000, 0.5000, 0.5000)  6 O 2.25-2.42
O (0.0697, 0.3723, 0.2072)  1 Re 1.91, 2 Li 2.10-2.12
O (0.3723, 0.0697, 0.2072)  1 Re 1.91, 2 Li 2.10-2.12
O (0.2297, 0.2297, 0.7890)  1 Re 1.90
O (0.9303, 0.6277, 0.7928)  1 Re 1.91, 2 Li 2.10-2.12
O (0.7703, 0.7703, 0.2110)  1 Re 1.90
O (0.6277, 0.9303, 0.7928)  1 Re 1.91, 2 Li 2.10-2.12
Re (0.0000, 0.0000, 0.0000)  6 O 1.90-1.91
Li (0.6662, 0.3338, 0.0000)  6 O 2.10-2.13
Li (0.3338, 0.6662, 0.0000)  6 O 2.10-2.13


Record 19
Na2Li3ReO6 | PBE | relaxed

The final energy is -6.032 eV/atom. The energy above the most stable polymorph in this dataset comes out at 0 meV per atom.

abc: 5.2102 5.2102 5.3412
angles: 99.64 99.64 121.66
Last column: nearest neighbours and their distance in Å.
Fractional coordinates of all 12 atoms:
Na (0.8196, 0.1804, 0.5000)  6 O 2.25-2.27
Na (0.1804, 0.8196, 0.5000)  6 O 2.25-2.27
O (0.2309, 0.2309, 0.7850)  1 Re 1.90, 2 Li 2.08
O (0.9115, 0.6171, 0.7825)  1 Re 1.90, 2 Li 2.06-2.12
O (0.7691, 0.7691, 0.2150)  1 Re 1.90, 2 Li 2.08
O (0.6171, 0.9115, 0.7825)  1 Re 1.90, 2 Li 2.06-2.12
O (0.0885, 0.3829, 0.2175)  1 Re 1.90, 2 Li 2.06-2.12
O (0.3829, 0.0885, 0.2175)  1 Re 1.90, 2 Li 2.06-2.12
Re (0.0000, 0.0000, 0.0000)  6 O 1.90
Li (0.6642, 0.3358, 0.0000)  6 O 2.06-2.18
Li (0.3358, 0.6642, 0.0000)  6 O 2.06-2.18
Li (0.5000, 0.5000, 0.5000)  6 O 2.12-2.37


Record 20
Na2Li3ReO6 | PBE | relaxed

The final energy is -6.000 eV/atom. The energy above the most stable polymorph in this dataset comes out at 32 meV per atom.

abc: 5.3719 5.3719 5.0355
angles: 100.82 100.82 119.69
Last column: nearest neighbours and their distance in Å.
Fractional coordinates of all 12 atoms:
O (0.3691, 0.0819, 0.2477)  1 Re 1.92, 2 Li 2.04-2.07
O (0.9181, 0.6309, 0.7523)  1 Re 1.92, 2 Li 2.04-2.07
O (0.2058, 0.2058, 0.7677)  1 Re 1.89, 2 Li 2.09
O (0.6309, 0.9181, 0.7523)  1 Re 1.92, 2 Li 2.04-2.07
O (0.7942, 0.7942, 0.2323)  1 Re 1.89, 2 Li 2.09
O (0.0819, 0.3691, 0.2477)  1 Re 1.92, 2 Li 2.04-2.07
Li (0.8317, 0.1683, 0.5000)  4 O 2.07-2.09
Li (0.1683, 0.8317, 0.5000)  4 O 2.07-2.09
Li (0.5000, 0.5000, 0.5000)  4 O 2.04
Na (0.6672, 0.3328, 0.0000)  6 O 2.22-2.28
Na (0.3328, 0.6672, 0.0000)  6 O 2.22-2.28
Re (0.0000, 0.0000, 0.0000)  6 O 1.89-1.92